# PBE-GGA Ba2AcAs2Br2, relaxed
data_Ba2AcAs2Br2
_symmetry_space_group_name_H-M 'P 1'
_symmetry_Int_Tables_number 1
_symmetry_space_group_name_Hall 'P 1'
_cell_length_a 5.8853
_cell_length_b 5.8853
_cell_length_c 9.3405
_cell_angle_alpha 108.36
_cell_angle_beta 108.36
_cell_angle_gamma 90.00
loop_
_atom_site_label
_atom_site_type_symbol
_atom_site_fract_x
_atom_site_fract_y
_atom_site_fract_z
Ba1 Ba 0.3819 0.3819 0.7639
Ba2 Ba 0.6181 0.6181 0.2361
Ac1 Ac 0.0000 0.0000 0.0000
As1 As 0.0000 0.5000 0.0000
As2 As 0.5000 0.0000 0.0000
Br1 Br 0.1898 0.1898 0.3795
Br2 Br 0.8102 0.8102 0.6205
# **Final energy**: -4.372 eV per atom
# **Total moment**: 0.0 μB per cell
# **Uncorrected formation energy**: -1.43 eV per atom
# **Density of states at the Fermi level**: 3.211 states/eV/cell